(1)
DFT (PBE-GGA) results for a relaxed AcLu2Sc crystal.

Unit cell a=12.3673 b=12.3673 c=12.3673 alpha=16.19 beta=16.19 gamma=16.19
With the nearest neighbours (Å) after each atom.
Element x y z (fractional)
Ac1 0.0000 0.0000 0.0000  6 Ac 3.48, 2 Lu 3.49
Lu1 0.0953 0.0953 0.0953  3 Sc 3.30, 6 Lu 3.48, 1 Ac 3.49
Lu2 0.9047 0.9047 0.9047  3 Sc 3.30, 6 Lu 3.48, 1 Ac 3.49
Sc1 0.5000 0.5000 0.5000  6 Lu 3.30, 6 Sc 3.48

Output
The value obtained for the total moment is 0.00 Bohr magnetons per cell. For the energy above the most stable polymorph in this dataset, the calculation gives 0.139 eV/atom. For the calculated total energy, the calculation gives -18.57 eV per cell. As for the symmetry: R-3m.

(2)
DFT (PBE-GGA) results for a relaxed Mg3SbN crystal.

Unit cell a=3.2715 b=7.8016 c=7.9588 alpha=67.02 beta=89.88 gamma=89.82
With the nearest neighbours (Å) after each atom.
Element x y z (fractional)
Mg1 0.2482 0.3580 0.3705  2 N 2.20
Mg2 0.2503 0.6867 0.9357  1 N 2.09
Mg3 0.2509 0.9917 0.3594  3 N 2.18
Mg4 0.7491 0.0083 0.6406  3 N 2.18
Mg5 0.7497 0.3133 0.0643  1 N 2.09
Mg6 0.7518 0.6420 0.6295  2 N 2.20
Sb1 0.2477 0.2664 0.7752  7 Mg 2.95-3.17, 2 Sb 3.27
Sb2 0.7523 0.7336 0.2248  7 Mg 2.95-3.17, 2 Sb 3.27
N1 0.2506 0.8205 0.6509  6 Mg 2.09-2.20
N2 0.7494 0.1795 0.3491  6 Mg 2.09-2.20

Output
The value obtained for the total moment is 0.00 Bohr magnetons per cell. For the calculated total energy, the calculation gives -38.94 eV per cell. As for the symmetry: P-1.

(3)
DFT (PBE-GGA) results for a relaxed LiGaTeN2 crystal.

Unit cell a=4.1199 b=4.1199 c=5.6516 alpha=90.00 beta=90.00 gamma=90.00
With the nearest neighbours (Å) after each atom.
Element x y z (fractional)
Li1 0.0000 0.0000 0.0000  4 N 2.06
Ga1 0.5000 0.5000 0.5000  4 Te 2.91
Te1 0.0000 0.0000 0.5000  2 Li 2.83, 4 Ga 2.91
N1 0.0000 0.5000 0.0000  2 Li 2.06
N2 0.5000 0.0000 0.0000  2 Li 2.06

Output
The value obtained for the total moment is 4.99 Bohr magnetons per cell. For the energy above the most stable polymorph in this dataset, the calculation gives 0.550 eV/atom. For the calculated total energy, the calculation gives -17.27 eV per cell. As for the symmetry: P4/mmm.

(4)
DFT (PBE-GGA) results for a relaxed Nd6Ga3Rh crystal.

Unit cell a=8.9501 b=11.7738 c=5.2108 alpha=90.00 beta=90.00 gamma=90.00
With the nearest neighbours (Å) after each atom.
Element x y z (fractional)
Nd1 0.0029 0.2469 0.0000  1 Rh 2.91, 4 Ga 2.98-3.00
Nd2 0.1607 0.0851 0.5000  2 Rh 3.14, 3 Ga 3.20-3.51, 1 Nd 3.50
Nd3 0.1770 0.4223 0.5000  1 Rh 3.03, 2 Ga 3.18
Nd4 0.3230 0.9223 0.0000  1 Rh 3.03, 2 Ga 3.18
Nd5 0.3393 0.5851 0.0000  2 Rh 3.14, 3 Ga 3.20-3.51, 1 Nd 3.50
Nd6 0.4971 0.7469 0.5000  1 Rh 2.91, 4 Ga 2.98-3.00
Nd7 0.5029 0.2531 0.5000  1 Rh 2.91, 4 Ga 2.98-3.00
Nd8 0.6607 0.4149 0.0000  2 Rh 3.14, 3 Ga 3.20-3.51, 1 Nd 3.50
Nd9 0.6770 0.0777 0.0000  1 Rh 3.03, 2 Ga 3.18
Nd10 0.8230 0.5777 0.5000  1 Rh 3.03, 2 Ga 3.18
Nd11 0.8393 0.9149 0.5000  2 Rh 3.14, 3 Ga 3.20-3.51, 1 Nd 3.50
Nd12 0.9971 0.7531 0.0000  1 Rh 2.91, 4 Ga 2.98-3.00
Ga1 0.0000 0.5000 0.0000  8 Nd 2.98-3.20
Ga2 0.1620 0.7333 0.5000  3 Nd 3.00
Ga3 0.3380 0.2333 0.0000  3 Nd 3.00
Ga4 0.5000 0.0000 0.5000  8 Nd 2.98-3.20
Ga5 0.6620 0.7667 0.0000  3 Nd 3.00
Ga6 0.8380 0.2667 0.5000  3 Nd 3.00
Rh1 0.0000 0.0000 0.0000  8 Nd 2.91-3.14
Rh2 0.5000 0.5000 0.5000  8 Nd 2.91-3.14

Output
The value obtained for the total moment is 0.00 Bohr magnetons per cell. For the calculated total energy, the calculation gives -98.60 eV per cell. As for the symmetry: Pnnm.

(5)
DFT (PBE-GGA) results for a relaxed Pr3TiTl4S8 crystal.

Unit cell a=8.8607 b=8.8607 c=8.8607 alpha=54.72 beta=54.72 gamma=54.72
With the nearest neighbours (Å) after each atom.
Element x y z (fractional)
Pr1 0.0000 0.5000 0.5000  6 S 2.84-2.87
Pr2 0.5000 0.0000 0.5000  6 S 2.84-2.87
Pr3 0.5000 0.5000 0.0000  6 S 2.84-2.87
Ti1 0.0000 0.0000 0.0000  6 S 2.60
Tl1 0.0000 0.0000 0.5000  6 S 3.20-3.21
Tl2 0.0000 0.5000 0.0000  6 S 3.20-3.21
Tl3 0.5000 0.0000 0.0000  6 S 3.20
Tl4 0.5000 0.5000 0.5000  6 S 3.43
S1 0.2173 0.2173 0.7619  1 Ti 2.60, 2 Pr 2.87
S2 0.2173 0.7619 0.2173  1 Ti 2.60, 2 Pr 2.87
S3 0.2381 0.7827 0.7827  1 Ti 2.60, 2 Pr 2.87
S4 0.2629 0.2629 0.2629  3 Pr 2.84
S5 0.7371 0.7371 0.7371  3 Pr 2.84
S6 0.7619 0.2173 0.2173  1 Ti 2.60, 2 Pr 2.87
S7 0.7827 0.2381 0.7827  1 Ti 2.60, 2 Pr 2.87
S8 0.7827 0.7827 0.2381  1 Ti 2.60, 2 Pr 2.87

Output
The value obtained for the total moment is 1.01 Bohr magnetons per cell. For the calculated total energy, the calculation gives -85.02 eV per cell. As for the symmetry: R-3m.

(6)
DFT (PBE-GGA) results for a relaxed HfZr2H crystal.

Unit cell a=5.7480 b=5.7480 c=5.7480 alpha=106.69 beta=106.69 gamma=115.20
With the nearest neighbours (Å) after each atom.
Element x y z (fractional)
Hf1 0.0000 0.0000 0.0000  8 Zr 3.05-3.06, 2 H 3.08
Hf2 0.7500 0.2500 0.5000  8 Zr 3.05-3.06, 2 H 3.08
Zr1 0.2245 0.6250 0.0995  2 H 2.15
Zr2 0.3750 0.4745 0.5995  2 H 2.15
Zr3 0.5255 0.1250 0.9005  2 H 2.15
Zr4 0.8750 0.7755 0.4005  2 H 2.15
H1 0.2500 0.7500 0.5000  4 Zr 2.15
H2 0.5000 0.5000 0.0000  4 Zr 2.15

Output
The value obtained for the total moment is 0.00 Bohr magnetons per cell. For the energy above the most stable polymorph in this dataset, the calculation gives 0.211 eV/atom. For the calculated total energy, the calculation gives -60.14 eV per cell. As for the symmetry: I-42d.

(7)
DFT (PBE-GGA) results for a relaxed Na2In5Hg5 crystal.

Unit cell a=6.5868 b=6.5868 c=10.7986 alpha=108.42 beta=108.42 gamma=44.96
With the nearest neighbours (Å) after each atom.
Element x y z (fractional)
Na1 0.0730 0.0730 0.2467  5 Hg 3.12-3.23, 2 In 3.41
Na2 0.9270 0.9270 0.7533  5 Hg 3.12-3.23, 2 In 3.41
In1 0.2402 0.2402 0.7586  6 Hg 3.11-3.46, 2 In 3.27-3.34, 2 Na 3.41
In2 0.3387 0.3387 0.5127  4 Hg 3.23-3.26, 3 In 3.27, 3 Na 3.51-3.52
In3 0.5000 0.5000 0.0000  6 Hg 3.19-3.22, 2 In 3.34, 4 Na 3.55
In4 0.6613 0.6613 0.4873  4 Hg 3.23-3.26, 3 In 3.27, 3 Na 3.51-3.52
In5 0.7598 0.7598 0.2414  6 Hg 3.11-3.46, 2 In 3.27-3.34, 2 Na 3.41
Hg1 0.0000 0.0000 0.5000  2 Na 3.15, 6 In 3.23-3.28
Hg2 0.1630 0.1630 0.0090  2 Na 3.12-3.23, 5 In 3.15-3.46, 3 Hg 3.26-3.34
Hg3 0.4127 0.4127 0.2502  5 In 3.11-3.26, 2 Na 3.19, 1 Hg 3.26
Hg4 0.5873 0.5873 0.7498  5 In 3.11-3.26, 2 Na 3.19, 1 Hg 3.26
Hg5 0.8370 0.8370 0.9910  2 Na 3.12-3.23, 5 In 3.15-3.46, 3 Hg 3.26-3.34

Output
The value obtained for the total moment is 0.00 Bohr magnetons per cell. For the calculated total energy, the calculation gives -18.86 eV per cell. As for the symmetry: C2/m.

(8)
DFT (PBE-GGA) results for a relaxed Tl2Ag2SnI6 crystal.

Unit cell a=8.6922 b=8.6922 c=8.3358 alpha=115.85 beta=115.85 gamma=60.26
With the nearest neighbours (Å) after each atom.
Element x y z (fractional)
Tl1 0.2437 0.2437 0.1816  5 I 3.47-3.56
Tl2 0.7563 0.7563 0.8184  5 I 3.47-3.56
Ag1 0.4433 0.4433 0.7917  3 I 2.76-2.82, 1 Ag 3.00
Ag2 0.5567 0.5567 0.2083  3 I 2.76-2.82, 1 Ag 3.00
Sn1 0.0000 0.0000 0.5000  6 I 3.18-3.21
I1 0.1807 0.6792 0.1769  1 Ag 2.82
I2 0.2312 0.2312 0.5859  1 Ag 2.76
I3 0.3208 0.8193 0.8231  1 Ag 2.82
I4 0.6792 0.1807 0.1769  1 Ag 2.82
I5 0.7688 0.7688 0.4141  1 Ag 2.76
I6 0.8193 0.3208 0.8231  1 Ag 2.82

Output
The value obtained for the total moment is 0.00 Bohr magnetons per cell. For the calculated total energy, the calculation gives -28.31 eV per cell. As for the symmetry: C2/m.